A relaxed structure of YHoSb2O8, computed with GGA-PBE.

Calculated values
Fermi-level density of states, states/eV per atom: 0.00
Total DFT energy (no corrections), Ry per atom: -0.533
E_form (uncorrected), kJ per mole of atoms: -226.16
Space-group type: No. 82

The structure in extended XYZ format:
```
12
Lattice="-2.626 2.626 5.597 2.626 -2.626 5.597 2.626 2.626 -5.597" Properties=species:S:1:pos:R:3 pbc="T T T"
Y 0.000 0.000 0.000
Ho 0.000 2.626 2.799
Sb 2.626 0.000 2.799
Sb 0.000 0.000 5.597
O 1.657 -1.334 3.795
O 1.669 1.290 -1.005
O 1.292 0.969 1.803
O 1.336 -0.957 6.603
O 0.969 3.960 -1.803
O 0.957 1.336 4.592
O 1.290 3.584 1.005
O 1.334 1.657 7.400
```



A relaxed structure of SrVRe2, computed with GGA-PBE.

Calculated values
Energy relative to the lowest polymorph listed for this composition, kJ/mol of atoms: 0.0
Fermi-level density of states, states/eV per atom: 0.99
Total DFT energy (no corrections), Ry per atom: -0.575
Space-group type: No. 225
Energy of formation from the pure elements, eV per atom: 1.107

The structure in extended XYZ format:
```
4
Lattice="0.000 3.260 3.260 3.260 0.000 3.260 3.260 3.260 0.000" Properties=species:S:1:pos:R:3 pbc="T T T"
Sr 0.000 0.000 0.000
V 3.260 3.260 3.260
Re 1.630 1.630 1.630
Re 4.891 4.891 4.891
```



A relaxed structure of AlRu2PbO8, computed with GGA-PBE.

Calculated values
Fermi-level density of states, states/eV per atom: 0.44
Total DFT energy (no corrections), Ry per atom: -0.486
E_form (uncorrected), kJ per mole of atoms: -109.50
Space-group type: No. 147

The structure in extended XYZ format:
```
12
Lattice="5.380 0.000 0.000 -2.690 4.660 0.000 0.000 0.000 6.986" Properties=species:S:1:pos:R:3 pbc="T T T"
Al 0.000 0.000 0.000
Ru 0.000 3.106 1.523
Ru 2.690 1.553 5.463
Pb 0.000 0.000 3.493
O -0.539 1.394 1.181
O -1.213 4.430 1.181
O 0.938 1.164 5.805
O 0.000 3.106 3.312
O 2.690 1.553 3.674
O 1.752 3.495 1.181
O 3.903 0.230 5.805
O 3.230 3.265 5.805
```



A relaxed structure of Li5RhAu, computed with GGA-PBE.

Calculated values
Energy relative to the lowest polymorph listed for this composition, kJ/mol of atoms: 0.0
Fermi-level density of states, states/eV per atom: 0.35
Total DFT energy (no corrections), Ry per atom: -0.225
Space-group type: No. 15
Energy of formation from the pure elements, eV per atom: -0.178

The structure in extended XYZ format:
```
14
Lattice="4.373 -2.586 0.000 4.373 2.586 0.000 -1.564 0.000 9.390" Properties=species:S:1:pos:R:3 pbc="T T T"
Li 1.079 0.493 6.276
Li 3.201 1.649 7.043
Li 1.611 0.300 9.020
Li 1.861 -0.493 1.580
Li 2.392 -0.300 4.325
Li 4.791 0.300 5.066
Li 5.323 0.493 7.810
Li 5.573 -0.300 0.370
Li 3.983 -1.649 2.348
Li 6.104 -0.493 3.115
Rh 0.000 0.000 0.000
Rh -0.782 0.000 4.695
Au 3.983 0.980 2.348
Au 3.201 -0.980 7.043
```



A relaxed structure of TaNi4B2, computed with GGA-PBE.

Calculated values
Fermi-level density of states, states/eV per atom: 0.84
Total DFT energy (no corrections), Ry per atom: -0.536
Space-group type: No. 65
Energy of formation from the pure elements, eV per atom: -0.381

The structure in extended XYZ format:
```
7
Lattice="1.692 -6.144 0.000 1.692 6.144 0.000 0.000 0.000 3.390" Properties=species:S:1:pos:R:3 pbc="T T T"
Ta 0.000 0.000 0.000
Ni 1.692 4.019 1.695
Ni 1.692 2.120 0.000
Ni 1.692 -2.120 0.000
Ni 1.692 -4.019 1.695
B 1.692 0.873 1.695
B 1.692 -0.873 1.695
```



A relaxed structure of KHoCuCl6, computed with GGA-PBE.

Calculated values
Total DFT energy (no corrections), Ry per atom: -0.289
E_form (uncorrected), kJ per mole of atoms: -155.87
Space-group type: No. 1

The structure in extended XYZ format:
```
9
Lattice="6.523 0.000 0.000 -2.699 5.940 0.000 -0.363 -0.557 7.006" Properties=species:S:1:pos:R:3 pbc="T T T"
K 0.000 0.000 0.000
Ho 3.218 1.731 3.500
Cu 0.012 3.793 3.505
Cl 1.972 -0.317 4.724
Cl 1.024 2.323 2.042
Cl 1.775 3.486 4.961
Cl 3.852 0.039 1.708
Cl 5.028 1.854 5.286
Cl 4.567 3.715 2.279
```



A relaxed structure of AlAu3, computed with GGA-PBE.

Calculated values
Fermi-level density of states, states/eV per atom: 0.33
Total DFT energy (no corrections), Ry per atom: -0.261
Space-group type: No. 65
Energy of formation from the pure elements, eV per atom: -0.158

The structure in extended XYZ format:
```
4
Lattice="2.891 -3.722 0.000 2.891 3.722 0.000 0.000 0.000 3.249" Properties=species:S:1:pos:R:3 pbc="T T T"
Al 0.000 0.000 0.000
Au 1.446 1.861 1.624
Au 1.446 -1.861 1.624
Au 2.891 0.000 0.000
```



A relaxed structure of KLiGa2Os, computed with GGA-PBE.

Calculated values
Fermi-level density of states, states/eV per atom: 0.32
Total DFT energy (no corrections), Ry per atom: -0.296
Space-group type: No. 123
Energy of formation from the pure elements, eV per atom: 0.027

The structure in extended XYZ format:
```
5
Lattice="4.857 0.000 0.000 0.000 4.857 0.000 0.000 0.000 5.064" Properties=species:S:1:pos:R:3 pbc="T T T"
K 0.000 0.000 0.000
Li 2.429 2.429 0.000
Ga 0.000 2.429 2.532
Ga 2.429 0.000 2.532
Os 2.429 2.429 2.532
```



A relaxed structure of La2NpNiSe5, computed with GGA-PBE.

Calculated values
Fermi-level density of states, states/eV per atom: 1.24
Total DFT energy (no corrections), Ry per atom: -0.484
E_form (uncorrected), kJ per mole of atoms: -142.11
Space-group type: No. 36

The structure in extended XYZ format:
```
18
Lattice="2.035 -8.726 0.000 2.035 8.726 0.000 0.000 0.000 12.564" Properties=species:S:1:pos:R:3 pbc="T T T"
La 2.035 6.787 6.282
La 2.035 6.643 10.695
La 2.035 -6.643 4.413
La 2.035 -6.787 0.000
Np 2.035 5.611 2.228
Np 2.035 -5.611 8.510
Ni 2.035 1.021 7.204
Ni 2.035 -1.021 0.922
Se 2.035 8.367 2.046
Se 2.035 3.398 10.547
Se 2.035 3.310 6.485
Se 2.035 2.718 2.179
Se 2.035 0.040 11.354
Se 2.035 -0.040 5.072
Se 2.035 -2.718 8.461
Se 2.035 -3.310 0.203
Se 2.035 -3.398 4.265
Se 2.035 -8.367 8.328
```



A relaxed structure of SiHgBi2Pb, computed with GGA-PBE.

Calculated values
Fermi-level density of states, states/eV per atom: 0.54
Total DFT energy (no corrections), Ry per atom: -0.216
E_form (uncorrected), kJ per mole of atoms: 47.89
Space-group type: No. 123

The structure in extended XYZ format:
```
5
Lattice="5.463 0.000 0.000 0.000 5.463 0.000 0.000 0.000 5.603" Properties=species:S:1:pos:R:3 pbc="T T T"
Si 0.000 0.000 0.000
Hg 2.731 2.731 2.802
Bi 0.000 2.731 0.000
Bi 2.731 0.000 0.000
Pb 0.000 0.000 2.802
```



A relaxed structure of Ba2MgTa, computed with GGA-PBE.

Calculated values
Fermi-level density of states, states/eV per atom: 1.33
Total DFT energy (no corrections), Ry per atom: -0.268
Space-group type: No. 99
Energy of formation from the pure elements, eV per atom: 0.674

The structure in extended XYZ format:
```
4
Lattice="3.794 0.000 0.000 0.000 3.794 0.000 0.000 0.000 9.841" Properties=species:S:1:pos:R:3 pbc="T T T"
Ba 0.000 0.000 0.000
Ba 1.897 1.897 3.837
Mg 0.000 0.000 6.271
Ta 1.897 1.897 7.466
```



A relaxed structure of Tb4PmSm, computed with GGA-PBE.

Calculated values
Energy relative to the lowest polymorph listed for this composition, kJ/mol of atoms: 25.2
Fermi-level density of states, states/eV per atom: 2.07
Total DFT energy (no corrections), Ry per atom: -0.323
Space-group type: No. 216
Energy of formation from the pure elements, eV per atom: 0.277

The structure in extended XYZ format:
```
6
Lattice="0.000 4.687 4.687 4.687 0.000 4.687 4.687 4.687 0.000" Properties=species:S:1:pos:R:3 pbc="T T T"
Tb 1.171 1.171 1.171
Tb 3.516 3.516 1.171
Tb 3.516 1.171 3.516
Tb 1.171 3.516 3.516
Pm 4.687 4.687 4.687
Sm 7.030 7.030 7.030
```